No. 1
This record from Alexandria describes a relaxed SnRu2PbO crystal. The functional is PBE.

## Properties
SG = No. 123
E_form (uncorrected) = 6.15 eV/f.u.
Total moment = 2.02 μB per formula unit
Density = 8.25 g/cm3
E_tot = -5.014 eV per atom

Cell: 5.1035 4.2034 5.1035 Å, 90.00 90.00 90.00°
Each line ends with the local moment (μB).
Fractional positions:
Pb (0.0000, 0.0000, 0.0000)  -0.04
Ru (0.0000, 0.0000, 0.5000)  1.00
Ru (0.5000, 0.0000, 0.0000)  0.90
Sn (0.5000, 0.5000, 0.5000)  -0.06
O (0.0000, 0.5000, 0.0000)  0.13

=====

No. 2
This record from Alexandria describes a relaxed SnRuPbO6 crystal. The functional is PBE.

## Properties
SG = No. 102
E_form (uncorrected) = -10.00 eV/f.u.
Total moment = 2.04 μB per formula unit
Density = 7.49 g/cm3
E_tot = -6.303 eV per atom

Cell: 4.8428 4.8428 9.8896 Å, 90.00 90.00 90.00°
Each line ends with the local moment (μB).
Fractional positions:
Sn (0.5000, 0.5000, 0.8323)  0.00
Sn (0.0000, 0.0000, 0.3323)  0.00
Ru (0.5000, 0.5000, 0.1671)  1.44
Ru (0.0000, 0.0000, 0.6671)  1.44
Pb (0.5000, 0.5000, 0.5006)  -0.01
Pb (0.0000, 0.0000, 0.0006)  -0.01
O (0.1782, 0.8218, 0.5060)  0.07
O (0.8218, 0.1782, 0.5060)  0.07
O (0.3218, 0.3218, 0.0060)  0.07
O (0.6782, 0.6782, 0.0060)  0.07
O (0.2079, 0.7921, 0.1754)  0.07
O (0.7921, 0.2079, 0.1754)  0.07
O (0.2921, 0.2921, 0.6754)  0.07
O (0.7079, 0.7079, 0.6754)  0.07
O (0.8077, 0.1923, 0.8187)  0.08
O (0.1923, 0.8077, 0.8187)  0.08
O (0.6923, 0.6923, 0.3187)  0.08
O (0.3077, 0.3077, 0.3187)  0.08

=====

No. 3
This record from Alexandria describes a relaxed Sr2RuPbO5 crystal. The functional is PBE.

## Properties
SG = No. 127
E_form (uncorrected) = -14.94 eV/f.u.
Total moment = 2.00 μB per formula unit
Density = 6.48 g/cm3
E_tot = -6.231 eV per atom

Cell: 5.9015 6.9974 6.9974 Å, 90.00 90.00 90.00°
Each line ends with the local moment (μB).
Fractional positions:
Sr (0.5000, 0.6767, 0.1767)  0.00
Sr (0.5000, 0.1767, 0.3233)  0.00
Sr (0.5000, 0.8233, 0.6767)  0.00
Sr (0.5000, 0.3233, 0.8233)  0.00
Ru (0.0000, 0.0000, 0.5000)  1.28
Ru (0.0000, 0.5000, 0.0000)  1.28
Pb (0.0000, 0.5000, 0.5000)  -0.01
Pb (0.0000, 0.0000, 0.0000)  -0.01
O (0.5000, 0.5000, 0.5000)  0.03
O (0.5000, 0.0000, 0.0000)  0.03
O (0.2274, 0.1351, 0.6351)  0.13
O (0.2274, 0.8649, 0.3649)  0.13
O (0.2274, 0.3649, 0.1351)  0.13
O (0.2274, 0.6351, 0.8649)  0.13
O (0.7726, 0.1351, 0.6351)  0.13
O (0.7726, 0.6351, 0.8649)  0.13
O (0.7726, 0.8649, 0.3649)  0.13
O (0.7726, 0.3649, 0.1351)  0.13

=====

No. 4
This record from Alexandria describes a relaxed SrRuPbO6 crystal. The functional is PBE.

## Properties
SG = No. 163
E_form (uncorrected) = -11.70 eV/f.u.
Total moment = 0.00 μB per formula unit
Density = 5.81 g/cm3
E_tot = -6.235 eV per atom

Cell: 5.5827 5.5827 10.4151 Å, 90.00 90.00 120.00°
Fractional positions:
Sr (0.0000, 0.0000, 0.0000)
Sr (0.0000, 0.0000, 0.5000)
Ru (0.6667, 0.3333, 0.2500)
Ru (0.3333, 0.6667, 0.7500)
Pb (0.3333, 0.6667, 0.2500)
Pb (0.6667, 0.3333, 0.7500)
O (0.6548, 0.6108, 0.1449)
O (0.9560, 0.3452, 0.1449)
O (0.3452, 0.9560, 0.6449)
O (0.0440, 0.6548, 0.8551)
O (0.3892, 0.3452, 0.3551)
O (0.9560, 0.6108, 0.3551)
O (0.6108, 0.9560, 0.8551)
O (0.6548, 0.0440, 0.3551)
O (0.0440, 0.3892, 0.6449)
O (0.3892, 0.0440, 0.1449)
O (0.6108, 0.6548, 0.6449)
O (0.3452, 0.3892, 0.8551)

=====

No. 5
This record from Alexandria describes a relaxed SrRuPb2O6 crystal. The functional is PBE.

## Properties
SG = No. 14
E_form (uncorrected) = -13.88 eV/f.u.
Total moment = 1.90 μB per formula unit
Density = 7.66 g/cm3
E_tot = -6.200 eV per atom

Cell: 5.6999 6.2958 8.4461 Å, 90.00 89.26 90.00°
Each line ends with the local moment (μB).
Fractional positions:
Sr (0.5000, 0.0000, 0.0000)  0.01
Sr (0.0000, 0.5000, 0.5000)  0.01
Ru (0.5000, 0.0000, 0.5000)  1.35
Ru (0.0000, 0.5000, 0.0000)  1.35
Pb (0.0070, 0.9584, 0.2745)  0.01
Pb (0.5070, 0.5416, 0.7745)  0.01
Pb (0.9930, 0.0416, 0.7255)  0.01
Pb (0.4930, 0.4584, 0.2255)  0.01
O (0.2940, 0.6603, 0.0267)  0.06
O (0.7940, 0.8397, 0.5267)  0.06
O (0.7060, 0.3397, 0.9733)  0.06
O (0.2060, 0.1603, 0.4733)  0.06
O (0.3338, 0.7522, 0.4152)  0.06
O (0.8338, 0.7478, 0.9152)  0.06
O (0.6662, 0.2478, 0.5848)  0.06
O (0.1662, 0.2522, 0.0848)  0.06
O (0.8918, 0.5790, 0.2148)  0.05
O (0.3918, 0.9210, 0.7148)  0.05
O (0.1082, 0.4210, 0.7852)  0.05
O (0.6082, 0.0790, 0.2852)  0.05

=====

No. 6
This record from Alexandria describes a relaxed Sr2RuPbO6 crystal. The functional is PBE.

## Properties
SG = No. 12
E_form (uncorrected) = -15.90 eV/f.u.
Total moment = 1.98 μB per formula unit
Density = 6.06 g/cm3
E_tot = -6.200 eV per atom

Cell: 5.1748 5.7238 6.4966 Å, 116.14 110.79 90.00°
Each line ends with the local moment (μB).
Fractional positions:
Sr (0.2090, 0.2389, 0.4779)  0.01
Sr (0.7910, 0.7611, 0.5221)  0.01
Ru (0.5000, 0.0000, 0.0000)  1.33
Pb (0.0000, 0.5000, 0.0000)  0.03
O (0.2765, 0.6856, 0.3712)  0.05
O (0.2253, 0.1518, 0.8414)  0.09
O (0.7747, 0.3104, 0.1586)  0.09
O (0.2253, 0.6896, 0.8414)  0.09
O (0.7747, 0.8482, 0.1586)  0.09
O (0.7235, 0.3144, 0.6288)  0.05

=====

No. 7
This record from Alexandria describes a relaxed TaRu2PbO8 crystal. The functional is PBE.

## Properties
SG = No. 147
E_form (uncorrected) = -14.34 eV/f.u.
Total moment = 0.00 μB per formula unit
Density = 6.01 g/cm3
E_tot = -7.343 eV per atom

Cell: 5.7712 5.7712 6.8849 Å, 90.00 90.00 120.00°
Fractional positions:
Ta (0.0000, 0.0000, 0.5000)
Ru (0.6667, 0.3333, 0.2280)
Ru (0.3333, 0.6667, 0.7720)
Pb (0.0000, 0.0000, 0.0000)
O (0.3333, 0.6667, 0.0280)
O (0.3129, 0.1708, 0.3215)
O (0.8292, 0.1421, 0.3215)
O (0.6667, 0.3333, 0.9720)
O (0.1708, 0.8579, 0.6785)
O (0.6871, 0.8292, 0.6785)
O (0.1421, 0.3129, 0.6785)
O (0.8579, 0.6871, 0.3215)

=====

No. 8
This record from Alexandria describes a relaxed TaRu2PbO crystal. The functional is PBE.

## Properties
SG = No. 123
E_form (uncorrected) = 13.73 eV/f.u.
Total moment = 2.91 μB per formula unit
Density = 7.74 g/cm3
E_tot = -5.069 eV per atom

Cell: 4.9864 4.9864 5.2288 Å, 90.00 90.00 90.00°
Each line ends with the local moment (μB).
Fractional positions:
Pb (0.0000, 0.0000, 0.0000)  -0.03
Ru (0.0000, 0.5000, 0.0000)  1.74
Ru (0.5000, 0.0000, 0.0000)  1.74
O (0.5000, 0.5000, 0.5000)  0.92
Ta (0.0000, 0.0000, 0.5000)  -1.17

=====

No. 9
This record from Alexandria describes a relaxed Tb2RuPbO8 crystal. The functional is PBE.

## Properties
SG = No. 65
E_form (uncorrected) = -22.80 eV/f.u.
Total moment = 0.00 μB per formula unit
Density = 7.26 g/cm3
E_tot = -7.059 eV per atom

Cell: 5.0280 5.0271 6.8278 Å, 90.00 90.00 91.14°
Fractional positions:
Tb (0.5003, 0.5003, 0.7508)
Tb (0.4997, 0.4997, 0.2492)
Ru (0.0000, 0.0000, 0.0000)
Pb (0.0000, 0.0000, 0.5000)
O (0.1820, 0.8180, 0.2157)
O (0.7343, 0.7347, 0.0003)
O (0.8184, 0.1824, 0.2157)
O (0.8180, 0.1820, 0.7843)
O (0.2657, 0.2653, 0.9997)
O (0.1816, 0.8176, 0.7843)
O (0.6929, 0.6930, 0.4998)
O (0.3071, 0.3070, 0.5002)

=====

No. 10
This record from Alexandria describes a relaxed TcRu2PbO8 crystal. The functional is PBE.

## Properties
SG = No. 10
E_form (uncorrected) = -12.46 eV/f.u.
Total moment = 0.00 μB per formula unit
Density = 7.28 g/cm3
E_tot = -7.063 eV per atom

Cell: 4.7587 4.7513 6.4133 Å, 90.00 90.00 88.73°
Fractional positions:
Tc (0.0000, 0.0000, 0.0000)
Ru (0.5000, 0.5000, 0.7596)
Ru (0.5000, 0.5000, 0.2404)
Pb (0.0000, 0.0000, 0.5000)
O (0.2059, 0.7925, 0.2132)
O (0.7039, 0.7056, 0.0000)
O (0.7941, 0.2075, 0.2132)
O (0.7941, 0.2075, 0.7868)
O (0.2961, 0.2944, 0.0000)
O (0.2059, 0.7925, 0.7868)
O (0.6658, 0.6682, 0.5000)
O (0.3342, 0.3318, 0.5000)

=====

No. 11
This record from Alexandria describes a relaxed TcRuPbO6 crystal. The functional is PBE.

## Properties
SG = No. 74
E_form (uncorrected) = -9.35 eV/f.u.
Total moment = 0.76 μB per formula unit
Density = 6.20 g/cm3
E_tot = -6.939 eV per atom

Cell: 7.1287 7.2432 7.2797 Å, 119.83 119.32 90.00°
Each line ends with the local moment (μB).
Fractional positions:
Tc (0.5000, 0.5000, 0.0000)  -0.28
Tc (0.5000, 0.0000, 0.0000)  -0.28
Ru (0.5000, 0.0000, 0.5000)  0.74
Ru (0.0000, 0.0000, 0.5000)  0.74
Pb (0.9618, 0.7118, 0.9237)  0.01
Pb (0.0382, 0.2882, 0.0763)  0.01
O (0.4369, 0.6869, 0.8737)  0.06
O (0.8215, 0.0715, 0.6430)  0.02
O (0.8139, 0.0564, 0.2373)  0.04
O (0.4233, 0.6808, 0.2373)  0.04
O (0.4233, 0.0564, 0.2373)  0.04
O (0.8139, 0.6808, 0.2373)  0.04
O (0.5631, 0.3131, 0.1263)  0.06
O (0.1785, 0.9285, 0.3570)  0.02
O (0.1861, 0.9436, 0.7627)  0.04
O (0.5767, 0.3192, 0.7627)  0.04
O (0.5767, 0.9436, 0.7627)  0.04
O (0.1861, 0.3192, 0.7627)  0.04

=====

No. 12
This record from Alexandria describes a relaxed TeRuPb2O6 crystal. The functional is PBE.

## Properties
SG = No. 166
E_form (uncorrected) = -8.80 eV/f.u.
Total moment = 1.99 μB per formula unit
Density = 7.81 g/cm3
E_tot = -5.838 eV per atom

Cell: 5.9068 5.9068 10.9506 Å, 74.35 74.35 60.00°
Each line ends with the local moment (μB).
Fractional positions:
Te (0.0000, 0.0000, 0.0000)  0.01
Te (0.5000, 0.5000, 0.5000)  0.01
Ru (0.5921, 0.5921, 0.2236)  1.31
Ru (0.4079, 0.4079, 0.7764)  1.31
Pb (0.8920, 0.8920, 0.3239)  0.02
Pb (0.1080, 0.1080, 0.6761)  0.02
Pb (0.7336, 0.7336, 0.7991)  0.01
Pb (0.2664, 0.2664, 0.2009)  0.01
O (0.8565, 0.3961, 0.3514)  0.04
O (0.3961, 0.8565, 0.3514)  0.04
O (0.3961, 0.3961, 0.3514)  0.04
O (0.1435, 0.6039, 0.6486)  0.04
O (0.6039, 0.1435, 0.6486)  0.04
O (0.6039, 0.6039, 0.6486)  0.04
O (0.7320, 0.2034, 0.8612)  0.11
O (0.2034, 0.7320, 0.8612)  0.11
O (0.2034, 0.2034, 0.8612)  0.11
O (0.2680, 0.7966, 0.1388)  0.11
O (0.7966, 0.2680, 0.1388)  0.11
O (0.7966, 0.7966, 0.1388)  0.11

=====

No. 13
This record from Alexandria describes a relaxed Te2RuPbO8 crystal. The functional is PBE.

## Properties
SG = No. 12
E_form (uncorrected) = -11.01 eV/f.u.
Total moment = 2.08 μB per formula unit
Density = 6.61 g/cm3
E_tot = -5.828 eV per atom

Cell: 5.0550 5.0586 6.8148 Å, 88.28 88.34 86.51°
Each line ends with the local moment (μB).
Fractional positions:
Te (0.4630, 0.4626, 0.7593)  0.01
Te (0.5370, 0.5374, 0.2407)  0.01
Ru (0.0000, 0.0000, 0.0000)  1.42
Pb (0.0000, 0.0000, 0.5000)  -0.03
O (0.2153, 0.8393, 0.2200)  0.07
O (0.7325, 0.7320, 0.0415)  0.09
O (0.8390, 0.2144, 0.2199)  0.07
O (0.7847, 0.1607, 0.7800)  0.07
O (0.2675, 0.2680, 0.9585)  0.09
O (0.1610, 0.7856, 0.7801)  0.07
O (0.6826, 0.6821, 0.4669)  0.01
O (0.3174, 0.3179, 0.5331)  0.01

=====

No. 14
This record from Alexandria describes a relaxed TiRuPbO6 crystal. The functional is PBE.

## Properties
SG = No. 74
E_form (uncorrected) = -13.11 eV/f.u.
Total moment = 1.91 μB per formula unit
Density = 5.55 g/cm3
E_tot = -7.082 eV per atom

Cell: 7.1009 7.1938 7.3233 Å, 119.42 119.00 90.00°
Each line ends with the local moment (μB).
Fractional positions:
Ti (0.5000, 0.0000, 0.5000)  0.02
Ti (0.0000, 0.0000, 0.5000)  0.02
Ru (0.5000, 0.5000, 0.0000)  1.11
Ru (0.5000, 0.0000, 0.0000)  1.11
Pb (0.9824, 0.7324, 0.9648)  0.03
Pb (0.0176, 0.2676, 0.0352)  0.03
O (0.4374, 0.6874, 0.8748)  0.03
O (0.8073, 0.0573, 0.6146)  0.02
O (0.8161, 0.0493, 0.2294)  0.12
O (0.4133, 0.6802, 0.2294)  0.12
O (0.4133, 0.0493, 0.2294)  0.12
O (0.8161, 0.6802, 0.2294)  0.12
O (0.5626, 0.3126, 0.1252)  0.03
O (0.1927, 0.9427, 0.3854)  0.02
O (0.1839, 0.9507, 0.7706)  0.12
O (0.5867, 0.3198, 0.7706)  0.12
O (0.5867, 0.9507, 0.7706)  0.12
O (0.1839, 0.3198, 0.7706)  0.12

=====

No. 15
This record from Alexandria describes a relaxed Ti2RuPbO8 crystal. The functional is PBE.

## Properties
SG = No. 12
E_form (uncorrected) = -22.81 eV/f.u.
Total moment = 1.98 μB per formula unit
Density = 6.18 g/cm3
E_tot = -7.604 eV per atom

Cell: 4.7498 4.7533 6.3311 Å, 89.52 89.52 88.91°
Each line ends with the local moment (μB).
Fractional positions:
Ti (0.4762, 0.4763, 0.7547)  0.03
Ti (0.5238, 0.5237, 0.2453)  0.03
Ru (0.0000, 0.0000, 0.0000)  1.34
Pb (0.0000, 0.0000, 0.5000)  -0.02
O (0.2057, 0.7972, 0.2249)  0.08
O (0.6994, 0.6988, 0.0067)  0.05
O (0.7964, 0.2049, 0.2249)  0.08
O (0.7943, 0.2028, 0.7751)  0.08
O (0.3006, 0.3012, 0.9933)  0.05
O (0.2036, 0.7951, 0.7751)  0.08
O (0.6749, 0.6740, 0.4913)  0.01
O (0.3251, 0.3260, 0.5087)  0.01

=====

No. 16
This record from Alexandria describes a relaxed Tl3RuPb2O6 crystal. The functional is PBE.

## Properties
SG = No. 12
E_form (uncorrected) = -9.73 eV/f.u.
Total moment = 2.60 μB per formula unit
Density = 9.68 g/cm3
E_tot = -5.273 eV per atom

Cell: 6.1487 6.1487 6.4356 Å, 97.64 97.64 116.82°
Each line ends with the local moment (μB).
Fractional positions:
Tl (0.1665, 0.8335, 0.5000)  0.02
Tl (0.8335, 0.1665, 0.5000)  0.02
Tl (0.5000, 0.5000, 0.5000)  0.02
Ru (0.0000, 0.0000, 0.0000)  1.61
Pb (0.3288, 0.6712, 0.0000)  0.04
Pb (0.6712, 0.3288, 0.0000)  0.04
O (0.9529, 0.6761, 0.8349)  0.10
O (0.8241, 0.8241, 0.2220)  0.09
O (0.0471, 0.3239, 0.1651)  0.10
O (0.6761, 0.9529, 0.8349)  0.10
O (0.1759, 0.1759, 0.7780)  0.09
O (0.3239, 0.0471, 0.1651)  0.10

=====

No. 17
This record from Alexandria describes a relaxed Tl2RuPbO8 crystal. The functional is PBE.

## Properties
SG = No. 10
E_form (uncorrected) = -8.04 eV/f.u.
Total moment = 0.00 μB per formula unit
Density = 8.25 g/cm3
E_tot = -5.452 eV per atom

Cell: 5.0081 4.9915 6.8044 Å, 90.00 90.00 91.14°
Fractional positions:
Tl (0.5000, 0.5000, 0.7549)
Tl (0.5000, 0.5000, 0.2451)
Ru (0.0000, 0.0000, 0.0000)
Pb (0.0000, 0.0000, 0.5000)
O (0.1769, 0.8185, 0.2166)
O (0.7273, 0.7317, 0.0000)
O (0.8230, 0.1815, 0.2166)
O (0.8231, 0.1815, 0.7834)
O (0.2727, 0.2683, 0.0000)
O (0.1770, 0.8185, 0.7834)
O (0.6933, 0.6982, 0.5000)
O (0.3067, 0.3018, 0.5000)

=====

No. 18
This record from Alexandria describes a relaxed TlRuPb2O8 crystal. The functional is PBE.

## Properties
SG = No. 10
E_form (uncorrected) = -9.16 eV/f.u.
Total moment = 1.23 μB per formula unit
Density = 8.36 g/cm3
E_tot = -5.657 eV per atom

Cell: 4.9305 4.9222 6.9366 Å, 90.00 90.00 90.26°
Each line ends with the local moment (μB).
Fractional positions:
Tl (0.0000, 0.0000, 0.5000)  0.00
Ru (0.0000, 0.0000, 0.0000)  0.77
Pb (0.5000, 0.5000, 0.7555)  0.00
Pb (0.5000, 0.5000, 0.2445)  0.00
O (0.1823, 0.8149, 0.2135)  0.07
O (0.7185, 0.7213, 0.0000)  0.00
O (0.8177, 0.1850, 0.2135)  0.07
O (0.8177, 0.1851, 0.7865)  0.07
O (0.2815, 0.2787, 0.0000)  0.00
O (0.1823, 0.8150, 0.7865)  0.07
O (0.6883, 0.6915, 0.5000)  0.02
O (0.3117, 0.3085, 0.5000)  0.02

=====

No. 19
This record from Alexandria describes a relaxed TlRu3Pb2O8 crystal. The functional is PBE.

## Properties
SG = No. 160
E_form (uncorrected) = -11.98 eV/f.u.
Total moment = 0.70 μB per formula unit
Density = 8.28 g/cm3
E_tot = -6.375 eV per atom

Cell: 6.2327 6.2327 7.2174 Å, 64.42 64.42 60.00°
Each line ends with the local moment (μB).
Fractional positions:
Tl (0.8716, 0.8716, 0.3853)  0.01
Ru (0.4930, 0.0058, 0.0081)  0.19
Ru (0.0058, 0.4930, 0.0081)  0.19
Ru (0.4930, 0.4930, 0.0081)  0.19
Pb (0.1204, 0.1204, 0.6388)  0.00
Pb (0.4969, 0.4969, 0.5092)  0.00
O (0.2704, 0.2704, 0.1888)  0.02
O (0.7096, 0.7096, 0.8713)  0.01
O (0.2508, 0.2508, 0.8071)  0.01
O (0.6913, 0.2508, 0.8071)  0.01
O (0.2508, 0.6913, 0.8071)  0.01
O (0.7650, 0.3090, 0.1609)  0.01
O (0.3090, 0.7650, 0.1609)  0.01
O (0.7650, 0.7650, 0.1609)  0.01